Record 1
Below is a geometry-optimized RbPrSn2Br8 structure, with properties calculated at the PBE level.

Formation energy from raw total energies in eV/atom: -1.28
Space-group type: P-1
Density in Mg/m³: 3.8
Uncorrected energy in eV per atom: -3.54

abc: 6.9032 7.3892 9.5501
angles: 86.06 87.32 87.96
Closest atoms and distances in Å follow each position.
Sites, in units of the cell vectors:
Rb1 0.0000 0.0000 0.0000  6 Br 3.38-3.45
Pr1 0.0000 0.0000 0.5000  6 Br 2.92-2.97
Sn1 0.4890 0.4853 0.2468  4 Br 2.73-3.05
Sn2 0.5110 0.5147 0.7532  4 Br 2.73-3.05
Br1 0.2408 0.3273 0.4719  1 Sn 2.89, 1 Pr 2.97
Br2 0.2408 0.8308 0.2825  1 Pr 2.92, 1 Sn 3.05
Br3 0.2592 0.8531 0.7180  1 Pr 2.94, 1 Sn 3.00
Br4 0.2706 0.3760 0.0391  1 Sn 2.73
Br5 0.7294 0.6240 0.9609  1 Sn 2.73
Br6 0.7408 0.1469 0.2820  1 Pr 2.94, 1 Sn 3.00
Br7 0.7592 0.1692 0.7175  1 Pr 2.92, 1 Sn 3.05
Br8 0.7592 0.6727 0.5281  1 Sn 2.89, 1 Pr 2.97

***

Record 2
Below is a geometry-optimized RbSr2PrBr8 structure, with properties calculated at the PBE level.

Formation energy from raw total energies in eV/atom: -1.96
Space-group type: P2/m
Density in Mg/m³: 3.5
Uncorrected energy in eV per atom: -3.83

abc: 7.0154 9.6021 7.2910
angles: 90.00 90.06 90.00
Closest atoms and distances in Å follow each position.
Sites, in units of the cell vectors:
Rb1 0.0000 0.0000 0.0000  6 Br 3.32-3.42
Sr1 0.5000 0.2476 0.5000  6 Br 3.02-3.21
Sr2 0.5000 0.7524 0.5000  6 Br 3.02-3.21
Pr1 0.0000 0.5000 0.0000  6 Br 2.91-3.01
Br1 0.2396 0.2847 0.1614  1 Pr 2.91, 1 Sr 3.09
Br2 0.2396 0.7153 0.1614  1 Pr 2.91, 1 Sr 3.09
Br3 0.2588 0.5000 0.6715  1 Pr 3.01, 2 Sr 3.21
Br4 0.2671 0.0000 0.6246  2 Sr 3.02, 1 Rb 3.32
Br5 0.7329 0.0000 0.3754  2 Sr 3.02, 1 Rb 3.32
Br6 0.7412 0.5000 0.3285  1 Pr 3.01, 2 Sr 3.21
Br7 0.7604 0.2847 0.8386  1 Pr 2.91, 1 Sr 3.09
Br8 0.7604 0.7153 0.8386  1 Pr 2.91, 1 Sr 3.09

***

Record 3
Below is a geometry-optimized RbPrTeBr2 structure, with properties calculated at the PBE level.

Formation energy from raw total energies in eV/atom: -1.66
Space-group type: Cmcm
Density in Mg/m³: 4.2
Uncorrected energy in eV per atom: -4.11

abc: 9.9017 9.9017 9.0501
angles: 90.00 90.00 153.06
Closest atoms and distances in Å follow each position.
Sites, in units of the cell vectors:
Rb1 0.2083 0.7917 0.7500  6 Br 3.45-3.50
Rb2 0.7917 0.2083 0.2500  6 Br 3.45-3.50
Pr1 0.5000 0.5000 0.0000  2 Br 2.91, 4 Te 3.23
Pr2 0.5000 0.5000 0.5000  2 Br 2.91, 4 Te 3.23
Te1 0.0026 0.9974 0.7500  4 Pr 3.23
Te2 0.9974 0.0026 0.2500  4 Pr 3.23
Br1 0.3491 0.6509 0.5052  1 Pr 2.91
Br2 0.3491 0.6509 0.9948  1 Pr 2.91
Br3 0.6509 0.3491 0.0052  1 Pr 2.91
Br4 0.6509 0.3491 0.4948  1 Pr 2.91